# 1
HRuRh3 | GGA-PBEsol | optimized geometry

The structure in POSCAR format:
```
HRuRh3
1.0
3.828 0.000 0.000
0.000 3.828 0.000
0.000 0.000 3.828
H Ru Rh
1 1 3
Direct
0.000 0.000 0.000 H
0.500 0.500 0.500 Ru
0.000 0.000 0.500 Rh
0.000 0.500 0.000 Rh
0.500 0.000 0.000 Rh
```

---

# 2
CoBiIN2 | GGA-PBEsol | optimized geometry

Results
The calculation puts the formation energy without anion corrections at 1.36 eV/atom.

The structure in POSCAR format:
```
CoBiIN2
1.0
4.093 0.000 0.000
0.000 4.093 0.000
0.000 0.000 4.927
Co Bi I N
1 1 1 2
Direct
0.000 0.000 0.000 Co
0.500 0.500 0.500 Bi
0.000 0.000 0.500 I
0.000 0.500 0.000 N
0.500 0.000 0.000 N
```

---

# 3
SrLaBr5 | GGA-PBEsol | optimized geometry

Results
The calculation puts the formation energy without anion corrections at -1.99 eV/atom.

The structure in POSCAR format:
```
SrLaBr5
1.0
7.896 0.000 0.000
0.000 4.405 0.000
-0.089 0.000 13.579
Sr La Br
2 2 10
Direct
0.066 0.250 0.353 Sr
0.934 0.750 0.647 Sr
0.427 0.750 0.154 La
0.573 0.250 0.846 La
0.059 0.750 0.176 Br
0.159 0.250 0.572 Br
0.310 0.250 0.017 Br
0.349 0.750 0.788 Br
0.360 0.750 0.365 Br
0.640 0.250 0.635 Br
0.651 0.250 0.212 Br
0.690 0.750 0.983 Br
0.841 0.750 0.428 Br
0.941 0.250 0.824 Br
```

---

# 4
FeHgW3 | GGA-PBEsol | optimized geometry

Results
Its formation energy is 3462 meV/atom.

The structure in POSCAR format:
```
FeHgW3
1.0
4.830 0.000 0.000
0.000 4.830 0.000
0.000 0.000 4.830
Fe Hg W
1 1 3
Direct
0.000 0.000 0.000 Fe
0.500 0.500 0.500 Hg
0.000 0.500 0.500 W
0.500 0.000 0.500 W
0.500 0.500 0.000 W
```

---

# 5
CuBr | GGA-PBEsol | optimized geometry

Results
The calculation puts the formation energy without anion corrections at -0.19 eV/atom.

The structure in POSCAR format:
```
CuBr
1.0
12.509 0.000 0.000
0.000 3.939 0.000
-3.256 0.000 5.759
Cu Br
6 6
Direct
0.000 0.000 0.000 Cu
0.029 0.500 0.808 Cu
0.369 0.000 0.981 Cu
0.500 0.500 0.000 Cu
0.529 0.000 0.808 Cu
0.869 0.500 0.981 Cu
0.084 0.500 0.254 Br
0.248 0.500 0.898 Br
0.439 0.500 0.585 Br
0.584 0.000 0.254 Br
0.748 0.000 0.898 Br
0.939 0.000 0.585 Br
```

---

# 6
LuMg16Al12 | GGA-PBEsol | optimized geometry

Results
Its formation energy is -54 meV/atom.

The structure in POSCAR format:
```
LuMg16Al12
1.0
7.468 4.312 2.967
-7.468 4.312 2.967
0.000 -8.624 2.967
Lu Mg Al
1 16 12
Direct
0.000 0.000 0.000 Lu
0.056 0.056 0.654 Mg
0.056 0.654 0.056 Mg
0.094 0.765 0.765 Mg
0.371 0.371 0.371 Mg
0.371 0.684 0.977 Mg
0.371 0.977 0.684 Mg
0.374 0.374 0.716 Mg
0.374 0.716 0.374 Mg
0.654 0.056 0.056 Mg
0.684 0.371 0.977 Mg
0.684 0.977 0.371 Mg
0.716 0.374 0.374 Mg
0.765 0.094 0.765 Mg
0.765 0.765 0.094 Mg
0.977 0.371 0.684 Mg
0.977 0.684 0.371 Mg
0.005 0.184 0.367 Al
0.005 0.367 0.184 Al
0.184 0.005 0.367 Al
0.184 0.367 0.005 Al
0.198 0.560 0.560 Al
0.367 0.005 0.184 Al
0.367 0.184 0.005 Al
0.560 0.198 0.560 Al
0.560 0.560 0.198 Al
0.563 0.746 0.746 Al
0.746 0.563 0.746 Al
0.746 0.746 0.563 Al
```

---

# 7
AlPRh2 | GGA-PBEsol | optimized geometry

Results
Its formation energy is -348 meV/atom.

The structure in POSCAR format:
```
AlPRh2
1.0
5.001 0.000 0.000
0.000 2.885 0.000
-1.679 0.000 7.694
Al P Rh
2 2 4
Direct
0.000 0.000 0.000 Al
0.500 0.500 0.000 Al
0.254 0.500 0.264 P
0.754 0.000 0.264 P
0.254 0.000 0.765 Rh
0.490 0.000 0.470 Rh
0.754 0.500 0.765 Rh
0.990 0.500 0.470 Rh
```

---

# 8
FeRu2Cl | GGA-PBEsol | optimized geometry

Results
The calculation puts the formation energy without anion corrections at 0.78 eV/atom.

The structure in POSCAR format:
```
FeRu2Cl
1.0
4.290 0.000 0.000
0.000 4.290 0.000
0.000 0.000 2.815
Fe Ru Cl
1 2 1
Direct
0.000 0.000 0.000 Fe
0.000 0.500 0.500 Ru
0.500 0.000 0.500 Ru
0.500 0.500 0.000 Cl
```

---

# 9
AlTlHg2 | GGA-PBEsol | optimized geometry

Results
Its formation energy is 139 meV/atom.

The structure in POSCAR format:
```
AlTlHg2
1.0
4.628 0.000 0.000
0.000 4.628 0.000
0.000 0.000 8.545
Al Tl Hg
2 2 4
Direct
0.000 0.000 0.000 Al
0.500 0.500 0.500 Al
0.000 0.000 0.500 Tl
0.500 0.500 0.000 Tl
0.000 0.500 0.250 Hg
0.000 0.500 0.750 Hg
0.500 0.000 0.250 Hg
0.500 0.000 0.750 Hg
```

---

# 10
InPbBr | GGA-PBEsol | optimized geometry

Results
The calculation puts the formation energy without anion corrections at -0.17 eV/atom.

The structure in POSCAR format:
```
InPbBr
1.0
5.361 0.000 0.000
-2.680 4.643 0.000
0.000 0.000 3.393
In Pb Br
1 1 1
Direct
0.000 0.000 0.000 In
0.667 0.333 0.499 Pb
0.333 0.667 0.552 Br
```

---

# 11
LiCdPt | GGA-PBEsol | optimized geometry

Results
Its formation energy is -424 meV/atom.

The structure in POSCAR format:
```
LiCdPt
1.0
2.854 0.000 0.000
0.000 3.952 0.000
0.000 0.000 8.330
Li Cd Pt
2 2 2
Direct
0.000 0.000 0.000 Li
0.500 0.500 0.500 Li
0.000 0.000 0.677 Cd
0.500 0.500 0.177 Cd
0.000 0.000 0.345 Pt
0.500 0.500 0.845 Pt
```

---

# 12
AgOs2Pt | GGA-PBEsol | optimized geometry

Results
Its formation energy is 490 meV/atom.

The structure in POSCAR format:
```
AgOs2Pt
1.0
3.871 0.000 0.000
0.000 3.871 0.000
0.000 0.000 7.784
Ag Os Pt
2 4 2
Direct
0.000 0.000 0.000 Ag
0.500 0.500 0.500 Ag
0.000 0.000 0.500 Os
0.000 0.500 0.250 Os
0.500 0.000 0.750 Os
0.500 0.500 0.000 Os
0.000 0.500 0.750 Pt
0.500 0.000 0.250 Pt
```

---

| no. | total magnetic moment (μB/f.u.) | E (eV/atom) |
| --- | --- | --- |
| 1 | 0.000 | -7.4992 |
| 2 | 2.825 | -4.8127 |
| 3 | 0.000 | -4.3562 |
| 4 | 2.697 | -6.7284 |
| 5 | 0.000 | -3.2912 |
| 6 | 0.005 | -2.8622 |
| 7 | 0.000 | -6.8877 |
| 8 | 3.265 | -7.0448 |
| 9 | 0.000 | -1.8244 |
| 10 | 0.000 | -3.1221 |
| 11 | 0.000 | -3.7995 |
| 12 | 0.000 | -8.1868 |